# 1
LaIr4Ru | Alexandria | GGA-PBE | relaxed; ΔH_f (0 K) = 63 meV per atom; symmetry = No. 216; crystal system = cubic
1.0
0.0000 3.7686 3.7686
3.7686 0.0000 3.7686
3.7686 3.7686 0.0000
La Ir Ru
1 4 1
direct
0.0000 0.0000 0.0000
0.3754 0.3754 0.3754
0.3754 0.3754 0.8739
0.3754 0.8739 0.3754
0.8739 0.3754 0.3754
0.7500 0.7500 0.7500


# 2
La3IrRu | Alexandria | GGA-PBE | relaxed; ΔH_f (0 K) = 103 meV per atom; symmetry = No. 221; relative energy among the computed polymorphs = 0.565 eV/atom; crystal system = cubic
1.0
5.3181 0.0000 0.0000
0.0000 5.3181 0.0000
0.0000 0.0000 5.3181
La Ir Ru
3 1 1
direct
0.0000 0.0000 0.5000
0.0000 0.5000 0.0000
0.5000 0.0000 0.0000
0.5000 0.5000 0.5000
0.0000 0.0000 0.0000


# 3
La4Ir2Ru | Alexandria | GGA-PBE | relaxed; ΔH_f (0 K) = -543 meV per atom; symmetry = No. 12; crystal system = monoclinic
1.0
5.7775 -2.2059 0.0000
5.7775 2.2059 0.0000
-5.4154 0.0000 7.0478
La Ir Ru
4 2 1
direct
0.0830 0.0830 0.3798
0.3118 0.3118 0.9140
0.6882 0.6882 0.0860
0.9170 0.9170 0.6202
0.3435 0.3435 0.3532
0.6565 0.6565 0.6468
0.0000 0.0000 0.0000


# 4
LaIrRu4 | Alexandria | GGA-PBE | relaxed; ΔH_f (0 K) = 354 meV per atom; symmetry = No. 216; crystal system = cubic
1.0
0.0000 3.7169 3.7169
3.7169 0.0000 3.7169
3.7169 3.7169 0.0000
La Ir Ru
1 1 4
direct
0.0000 0.0000 0.0000
0.2500 0.2500 0.2500
0.1287 0.6238 0.6238
0.6238 0.1287 0.6238
0.6238 0.6238 0.1287
0.6238 0.6238 0.6238


# 5
LaIr3Ru | Alexandria | GGA-PBE | relaxed; ΔH_f (0 K) = 647 meV per atom; symmetry = No. 221; relative energy among the computed polymorphs = 0.000 eV/atom; crystal system = cubic
1.0
4.7710 0.0000 0.0000
0.0000 4.7710 0.0000
0.0000 0.0000 4.7710
La Ir Ru
1 3 1
direct
0.0000 0.0000 0.0000
0.0000 0.5000 0.5000
0.5000 0.0000 0.5000
0.5000 0.5000 0.0000
0.5000 0.5000 0.5000


# 6
La12Ir5Ru2 | Alexandria | GGA-PBE | relaxed; ΔH_f (0 K) = -519 meV per atom; symmetry = No. 12; crystal system = monoclinic
1.0
8.0381 -3.7868 0.0000
8.0381 3.7868 0.0000
-2.8096 0.0000 9.3341
La Ir Ru
12 5 2
direct
0.0052 0.0052 0.2977
0.0665 0.5784 0.3863
0.0991 0.6058 0.9479
0.3942 0.9009 0.0521
0.4216 0.9335 0.6137
0.4559 0.4559 0.7024
0.5441 0.5441 0.2976
0.5784 0.0665 0.3863
0.6058 0.0991 0.9479
0.9009 0.3942 0.0521
0.9335 0.4216 0.6137
0.9948 0.9948 0.7023
0.1827 0.1827 0.3342
0.1985 0.1985 0.8568
0.5000 0.5000 0.0000
0.8015 0.8015 0.1432
0.8173 0.8173 0.6658
0.2999 0.7001 0.5000
0.7001 0.2999 0.5000


# 7
La8Ir3Ru2 | Alexandria | GGA-PBE | relaxed; ΔH_f (0 K) = -477 meV per atom; symmetry = No. 12; crystal system = monoclinic
1.0
7.2794 -4.2032 0.0000
7.2794 4.2032 0.0000
-2.5424 0.0000 6.6005
La Ir Ru
8 3 2
direct
0.1164 0.6310 0.2357
0.1192 0.1192 0.2452
0.3690 0.8836 0.7643
0.3722 0.3722 0.7857
0.6278 0.6278 0.2143
0.6310 0.1164 0.2357
0.8808 0.8808 0.7548
0.8836 0.3690 0.7643
0.0000 0.0000 0.5000
0.2560 0.7440 0.0000
0.7440 0.2560 0.0000
0.2597 0.2597 0.0568
0.7403 0.7403 0.9432


# 8
La4IrRu | Alexandria | GGA-PBE | relaxed; ΔH_f (0 K) = 840 meV per atom; symmetry = No. 216; relative energy among the computed polymorphs = 1.287 eV/atom; crystal system = cubic
1.0
0.0000 4.2660 4.2660
4.2660 0.0000 4.2660
4.2660 4.2660 0.0000
La Ir Ru
4 1 1
direct
0.1250 0.1250 0.1250
0.1250 0.1250 0.6249
0.1250 0.6249 0.1250
0.6249 0.1250 0.1250
0.5000 0.5000 0.5000
0.7500 0.7500 0.7500


# 9
La2IrRu2 | Alexandria | GGA-PBE | relaxed; ΔH_f (0 K) = -166 meV per atom; symmetry = No. 127; relative energy among the computed polymorphs = 0.000 eV/atom; crystal system = tetragonal
1.0
6.9487 0.0000 0.0000
0.0000 6.9487 0.0000
0.0000 0.0000 4.4235
La Ir Ru
4 2 4
direct
0.1910 0.3090 0.0000
0.3090 0.8090 0.0000
0.6910 0.1910 0.0000
0.8090 0.6910 0.0000
0.0000 0.0000 0.5000
0.5000 0.5000 0.5000
0.1287 0.6287 0.5000
0.3713 0.1287 0.5000
0.6287 0.8713 0.5000
0.8713 0.3713 0.5000


# 10
La4IrRu | Alexandria | GGA-PBE | relaxed; ΔH_f (0 K) = -432 meV per atom; symmetry = No. 15; relative energy among the computed polymorphs = 0.015 eV/atom; crystal system = monoclinic
1.0
4.3035 -7.7392 0.0000
4.3035 7.7392 0.0000
-4.2942 0.0000 5.6644
La Ir Ru
8 2 2
direct
0.0384 0.4352 0.2380
0.2018 0.3015 0.7480
0.3015 0.2018 0.2480
0.4352 0.0384 0.7380
0.5648 0.9616 0.2620
0.6985 0.7982 0.7520
0.7982 0.6985 0.2520
0.9616 0.5648 0.7620
0.4143 0.5857 0.2500
0.5857 0.4143 0.7500
0.0943 0.9057 0.7500
0.9057 0.0943 0.2500


# 11
La3IrRu | Alexandria | GGA-PBE | relaxed; ΔH_f (0 K) = -462 meV per atom; symmetry = No. 14; relative energy among the computed polymorphs = 0.000 eV/atom; crystal system = monoclinic
1.0
8.8637 0.0000 0.0000
0.0000 7.5783 0.0000
-2.2591 0.0000 8.1554
La Ir Ru
12 4 4
direct
0.0468 0.0092 0.2202
0.0468 0.4908 0.7202
0.2917 0.6664 0.1022
0.2917 0.8336 0.6022
0.3511 0.2018 0.0169
0.3511 0.2982 0.5169
0.6489 0.7018 0.4831
0.6489 0.7982 0.9831
0.7083 0.1664 0.3978
0.7083 0.3336 0.8978
0.9532 0.5092 0.2798
0.9532 0.9908 0.7798
0.4054 0.5295 0.8128
0.4054 0.9705 0.3128
0.5946 0.0295 0.6872
0.5946 0.4705 0.1872
0.0408 0.1907 0.5121
0.0408 0.3093 0.0121
0.9592 0.6907 0.9879
0.9592 0.8093 0.4879


# 12
La2Sb4Ir3Ru | Alexandria | GGA-PBE | relaxed; symmetry = No. 115; formation energy without anion corrections = -0.665 eV per atom; crystal system = tetragonal
1.0
4.5512 0.0000 0.0000
0.0000 4.5512 0.0000
0.0000 0.0000 10.6613
La Sb Ir Ru
2 4 3 1
direct
0.0000 0.5000 0.2469
0.5000 0.0000 0.7531
0.0000 0.0000 0.5000
0.0000 0.5000 0.8686
0.5000 0.0000 0.1314
0.5000 0.5000 0.5000
0.0000 0.0000 0.0000
0.0000 0.5000 0.6246
0.5000 0.0000 0.3754
0.5000 0.5000 0.0000


# 13
LaSi2IrRu | Alexandria | GGA-PBE | relaxed; symmetry = No. 123; relative energy among the computed polymorphs = 1.213 eV/atom; formation energy without anion corrections = 0.217 eV per atom; crystal system = tetragonal
1.0
4.5106 0.0000 0.0000
0.0000 4.5106 0.0000
0.0000 0.0000 5.4457
La Si Ir Ru
1 2 1 1
direct
0.0000 0.0000 0.0000
0.0000 0.5000 0.5000
0.5000 0.0000 0.5000
0.5000 0.5000 0.0000
0.0000 0.0000 0.5000


# 14
La2Si4Ir3Ru | Alexandria | GGA-PBE | relaxed; symmetry = No. 115; formation energy without anion corrections = -1.000 eV per atom; crystal system = tetragonal
1.0
4.2565 0.0000 0.0000
0.0000 4.2565 0.0000
0.0000 0.0000 9.8253
La Si Ir Ru
2 4 3 1
direct
0.0000 0.5000 0.2472
0.5000 0.0000 0.7528
0.0000 0.0000 0.0000
0.0000 0.5000 0.6223
0.5000 0.0000 0.3777
0.5000 0.5000 0.0000
0.0000 0.5000 0.8746
0.5000 0.0000 0.1254
0.5000 0.5000 0.5000
0.0000 0.0000 0.5000


# 15
LaSi2IrRu | Alexandria | GGA-PBE | relaxed; symmetry = No. 119; relative energy among the computed polymorphs = 0.000 eV/atom; formation energy without anion corrections = -0.996 eV per atom; crystal system = tetragonal
1.0
-2.0988 2.0988 5.0602
2.0988 -2.0988 5.0602
2.0988 2.0988 -5.0602
La Si Ir Ru
1 2 1 1
direct
0.0000 0.0000 0.0000
0.3675 0.3675 0.0000
0.6325 0.6325 0.0000
0.2500 0.7500 0.5000
0.7500 0.2500 0.5000


# 16
LaTbIrRu | Alexandria | GGA-PBE | relaxed; ΔH_f (0 K) = -416 meV per atom; symmetry = No. 216; crystal system = cubic
1.0
0.0000 3.5046 3.5046
3.5046 0.0000 3.5046
3.5046 3.5046 0.0000
La Tb Ir Ru
1 1 1 1
direct
0.0000 0.0000 0.0000
0.5000 0.5000 0.5000
0.2500 0.2500 0.2500
0.7500 0.7500 0.7500


# 17
LaTmIrRu | Alexandria | GGA-PBE | relaxed; ΔH_f (0 K) = -466 meV per atom; symmetry = No. 216; crystal system = cubic
1.0
0.0000 3.4743 3.4743
3.4743 0.0000 3.4743
3.4743 3.4743 0.0000
La Tm Ir Ru
1 1 1 1
direct
0.0000 0.0000 0.0000
0.5000 0.5000 0.5000
0.2500 0.2500 0.2500
0.7500 0.7500 0.7500


# 18
LaY2IrRu | Alexandria | GGA-PBE | relaxed; ΔH_f (0 K) = 222 meV per atom; symmetry = No. 123; crystal system = tetragonal
1.0
5.3070 0.0000 0.0000
0.0000 5.3070 0.0000
0.0000 0.0000 5.4272
La Y Ir Ru
1 2 1 1
direct
0.0000 0.0000 0.0000
0.0000 0.5000 0.5000
0.5000 0.0000 0.5000
0.0000 0.0000 0.5000
0.5000 0.5000 0.0000


# 19
La2IrS | Alexandria | GGA-PBE | relaxed; symmetry = No. 160; formation energy without anion corrections = -1.307 eV per atom; crystal system = trigonal
1.0
2.0553 1.1866 7.3751
-2.0553 1.1866 7.3751
0.0000 -2.3732 7.3751
La Ir S
2 1 1
direct
0.0000 0.0000 0.0000
0.1805 0.1805 0.1805
0.5905 0.5905 0.5905
0.4225 0.4225 0.4225


# 20
La2IrS | Alexandria | GGA-PBE | relaxed; symmetry = No. 122; formation energy without anion corrections = -0.994 eV per atom; crystal system = tetragonal
1.0
-3.2398 3.2398 6.5422
3.2398 -3.2398 6.5422
3.2398 3.2398 -6.5422
La Ir S
4 2 2
direct
0.1109 0.6250 0.9859
0.3750 0.3609 0.4859
0.6391 0.1250 0.0141
0.8750 0.8891 0.5141
0.0000 0.0000 0.0000
0.7500 0.2500 0.5000
0.2500 0.7500 0.5000
0.5000 0.5000 0.0000


Magnetic moment, record by record: 0.622 0.000 0.000 0.000 0.000 0.000 0.000 0.000 0.000 0.000 0.000 0.000 0.000 0.000 0.000 0.000 0.000 0.167 0.000 0.000 μB/atom